(1)
Entry from the Alexandria database: a relaxed FeHgP2 crystal (PBE).

Results
- ρ (g/cm3) = 7.9
- crystal system = orthorhombic

CIF file:
```
data_FeHgP2
_chemical_formula_sum 'Fe1 Hg1 P2'
_space_group_name_H-M_alt 'P 1'
_space_group_IT_number 1
_space_group_name_Hall 'P 1'
_cell_length_a 5.102
_cell_length_b 5.102
_cell_length_c 5.102
_cell_angle_alpha 144.40
_cell_angle_beta 118.49
_cell_angle_gamma 73.14
loop_
_atom_site_label
_atom_site_fract_x
_atom_site_fract_y
_atom_site_fract_z
Fe1 0.000 0.000 0.000
Hg1 0.289 0.789 0.500
P1 0.586 0.586 0.000
P2 0.789 0.289 0.500
```


(2)
Entry from the Alexandria database: a relaxed FeHg2P crystal (PBE).

Results
- ρ (g/cm3) = 10.6
- crystal system = tetragonal

CIF file:
```
data_FeHg2P
_chemical_formula_sum 'Fe2 Hg4 P2'
_space_group_name_H-M_alt 'P 1'
_space_group_IT_number 1
_space_group_name_Hall 'P 1'
_cell_length_a 5.985
_cell_length_b 5.985
_cell_length_c 5.985
_cell_angle_alpha 101.24
_cell_angle_beta 101.24
_cell_angle_gamma 127.59
loop_
_atom_site_label
_atom_site_fract_x
_atom_site_fract_y
_atom_site_fract_z
Fe1 0.000 0.000 0.000
Fe2 0.750 0.250 0.500
Hg1 0.125 0.625 0.000
Hg2 0.375 0.375 0.500
Hg3 0.625 0.125 0.000
Hg4 0.875 0.875 0.500
P1 0.250 0.750 0.500
P2 0.500 0.500 0.000
```


(3)
Entry from the Alexandria database: a relaxed FeHg2P crystal (PBE).

Results
- ρ (g/cm3) = 10.9
- crystal system = orthorhombic

CIF file:
```
data_FeHg2P
_chemical_formula_sum 'Fe1 Hg2 P1'
_space_group_name_H-M_alt 'P 1'
_space_group_IT_number 1
_space_group_name_Hall 'P 1'
_cell_length_a 2.936
_cell_length_b 2.936
_cell_length_c 8.652
_cell_angle_alpha 90.00
_cell_angle_beta 90.00
_cell_angle_gamma 90.26
loop_
_atom_site_label
_atom_site_fract_x
_atom_site_fract_y
_atom_site_fract_z
Fe1 0.000 0.000 0.000
Hg1 0.500 0.500 0.228
Hg2 0.500 0.500 0.772
P1 0.000 0.000 0.500
```


(4)
Entry from the Alexandria database: a relaxed FeHg2P crystal (PBE).

Results
- ρ (g/cm3) = 10.2
- crystal system = orthorhombic

CIF file:
```
data_FeHg2P
_chemical_formula_sum 'Fe1 Hg2 P1'
_space_group_name_H-M_alt 'P 1'
_space_group_IT_number 1
_space_group_name_Hall 'P 1'
_cell_length_a 6.481
_cell_length_b 6.481
_cell_length_c 6.481
_cell_angle_alpha 154.45
_cell_angle_beta 136.95
_cell_angle_gamma 50.73
loop_
_atom_site_label
_atom_site_fract_x
_atom_site_fract_y
_atom_site_fract_z
Fe1 0.000 0.000 0.000
Hg1 0.208 0.708 0.500
Hg2 0.520 0.520 0.000
P1 0.861 0.361 0.500
```


(5)
Entry from the Alexandria database: a relaxed FeHgP2 crystal (PBE).

Results
- ρ (g/cm3) = 7.9
- crystal system = tetragonal

CIF file:
```
data_FeHgP2
_chemical_formula_sum 'Fe1 Hg1 P2'
_space_group_name_H-M_alt 'P 1'
_space_group_IT_number 1
_space_group_name_Hall 'P 1'
_cell_length_a 2.963
_cell_length_b 2.963
_cell_length_c 7.593
_cell_angle_alpha 90.00
_cell_angle_beta 90.00
_cell_angle_gamma 90.00
loop_
_atom_site_label
_atom_site_fract_x
_atom_site_fract_y
_atom_site_fract_z
Fe1 0.000 0.000 0.000
Hg1 0.500 0.500 0.288
P1 0.000 0.000 0.696
P2 0.500 0.500 0.878
```


(6)
Entry from the Alexandria database: a relaxed FeHg2P crystal (PBE).

Results
- ρ (g/cm3) = 10.7
- crystal system = trigonal

CIF file:
```
data_FeHg2P
_chemical_formula_sum 'Fe1 Hg2 P1'
_space_group_name_H-M_alt 'P 1'
_space_group_IT_number 1
_space_group_name_Hall 'P 1'
_cell_length_a 9.247
_cell_length_b 9.247
_cell_length_c 9.247
_cell_angle_alpha 19.35
_cell_angle_beta 19.35
_cell_angle_gamma 19.35
loop_
_atom_site_label
_atom_site_fract_x
_atom_site_fract_y
_atom_site_fract_z
Fe1 0.000 0.000 0.000
Hg1 0.519 0.519 0.519
Hg2 0.747 0.747 0.747
P1 0.287 0.287 0.287
```


Summary of calculated formation energy in meV per atom
564 885 604 242 233 116
(order as listed above)